A relaxed structure of K2LiAl, computed with PBE-GGA.

Output
space-group type = R-3m
size of the total moment = 0.008 μB per formula unit
DFT formation energy = 159 kJ/mol of formula units

a b c (Å): 12.383 12.383 12.383
angles (deg): 17.59 17.59 17.59
Fractional positions:
Al1 0.750 0.750 0.750
K1 0.495 0.495 0.495
K2 0.005 0.005 0.005
Li1 0.250 0.250 0.250